Record 1
{"formula": "KNiSb2Te", "functional": "PBE", "state": "optimized geometry", "cell": [[-4.244, -0.113, 2.675], [2.123, -3.198, 3.232], [1.854, 4.391, 3.127]], "species": ["Sb", "Sb", "K", "Te", "Ni"], "frac_coords": [[0.000, 0.500, 0.000], [0.500, 0.000, 0.000], [0.500, 0.500, 0.500], [0.000, 0.000, 0.500], [0.000, 0.000, 0.000]], "e_above_lowest_polymorph_mev_per_atom": 0, "e_form_raw_ev_per_fu": -0.28, "energy_ev_per_atom": -3.71, "dos_ef_per_ev_fu": 3.53, "volume_a3_per_atom": 28.7}



Record 2
{"formula": "Sc2SnO", "functional": "PBE", "state": "optimized geometry", "cell": [[4.202, 0.000, 0.000], [0.000, 5.982, -1.181], [0.000, -0.373, 6.086]], "species": ["Sc", "Sc", "Sc", "Sc", "Sn", "Sn", "O", "O"], "frac_coords": [[0.000, 0.000, 0.500], [0.000, 0.000, 0.000], [0.000, 0.500, 0.000], [0.500, 0.500, 0.500], [0.500, 0.206, 0.794], [0.500, 0.794, 0.206], [0.000, 0.708, 0.708], [0.000, 0.292, 0.292]], "e_above_lowest_polymorph_mev_per_atom": 326, "e_form_raw_ev_per_fu": -5.84, "energy_ev_per_atom": -6.87, "dos_ef_per_ev_fu": 1.02, "volume_a3_per_atom": 18.9}



Record 3
{"formula": "CeSb3H", "functional": "PBE", "state": "optimized geometry", "cell": [[6.839, -0.010, -0.102], [-3.366, 5.954, 0.102], [-3.412, -1.993, 5.583]], "species": ["Ce", "Ce", "Sb", "Sb", "Sb", "Sb", "Sb", "Sb", "H", "H"], "frac_coords": [[0.463, 0.782, 0.181], [0.601, 0.282, 0.819], [0.032, 0.262, 0.730], [0.032, 0.802, 0.270], [0.532, 0.762, 0.730], [0.084, 0.282, 0.302], [0.532, 0.302, 0.270], [0.979, 0.782, 0.698], [0.530, 0.031, 0.999], [0.032, 0.531, 0.001]], "energy_ev_per_atom": -4.64, "dos_ef_per_ev_fu": 3.74, "volume_a3_per_atom": 22.6}